The following is a DFT calculation (meta-GGA SCAN) of AsOs2Pt at its PBEsol-relaxed geometry.

```
4
Lattice="0.000 3.105 3.105 3.105 0.000 3.105 3.105 3.105 0.000" Properties=species:S:1:pos:R:3 pbc="T T T"
As 0.000 0.000 0.000
Os 1.553 1.553 1.553
Os 3.105 3.105 3.105
Pt 4.658 4.658 4.658
```

Summary:
* SG: No. 216
* energy relative to the elements: 281 kJ/mol of formula units

The following is a DFT calculation (meta-GGA SCAN) of AsOsPt2 at its PBEsol-relaxed geometry.

```
4
Lattice="4.525 0.000 0.000 0.000 2.899 0.000 -1.364 0.000 4.542" Properties=species:S:1:pos:R:3 pbc="T T T"
As 0.000 0.000 0.000
Os 2.263 1.449 0.000
Pt -0.682 1.449 2.271
Pt 1.581 0.000 2.271
```

Summary:
* SG: No. 10
* energy relative to the elements: 88 kJ/mol of formula units